The following is a PBE calculation of a relaxed PuTiP crystal, from Alexandria via LeMat-Bulk.

a = 4.2593 Å, b = 4.2593 Å, c = 3.6945 Å
α = 90.00°, β = 90.00°, γ = 120.00°
Last column: nearest neighbours and their distance in Å.
Space group P-6m2 (No. 187)
Inequivalent atoms, fractional coordinates:
Pu  0.0000  0.0000  0.0000 x1  6 Ti 3.08, 6 P 3.08
Ti  0.6667  0.3333  0.5000 x1  3 P 2.46
P  0.3333  0.6667  0.5000 x1  3 Ti 2.46

The calculation puts the formation enthalpy at 0 K at -0.59 eV/atom. The crystal system is hexagonal. The total energy comes out at -9.81 eV/atom.

---

The following is a PBE calculation of a relaxed KPr2Cu2Se4 crystal, from Alexandria via LeMat-Bulk.

a = 15.6758 Å, b = 3.9370 Å, c = 7.6874 Å
α = 90.00°, β = 114.31°, γ = 90.00°
Last column: nearest neighbours and their distance in Å.
Space group C2/m (No. 12)
Inequivalent atoms, fractional coordinates:
K  0.0000  0.0000  0.0000 x2  6 Se 3.09-3.13
Pr  0.1255  0.0000  0.5578 x4  7 Se 3.01-3.34, 1 Cu 3.37
Cu  0.1950  0.5000  0.0074 x4  4 Se 2.51-2.74, 2 Cu 2.65
Se  0.0373  0.5000  0.7299 x4  1 Cu 2.51
Se  0.2172  0.0000  0.2353 x4  3 Cu 2.56-2.74

Its uncorrected formation energy is -1092 meV per atom. The crystal system is monoclinic. The total energy comes out at -4.73 eV/atom.

---

The following is a PBE calculation of a relaxed NaSc2Tc crystal, from Alexandria via LeMat-Bulk.

a = 3.2358 Å, b = 3.2358 Å, c = 31.5302 Å
α = 90.00°, β = 90.00°, γ = 120.00°
Last column: nearest neighbours and their distance in Å.
Space group R-3m (No. 166, hexagonal axes)
Inequivalent atoms, fractional coordinates:
Na  0.0000  0.0000  0.0000 x3  6 Na 3.24, 2 Sc 3.33
Sc  0.0000  0.0000  0.1057 x6  3 Tc 2.68
Tc  0.0000  0.0000  0.5000 x3  6 Sc 2.68

The calculation puts the formation enthalpy at 0 K at 0.12 eV/atom. The crystal system is trigonal. The total energy comes out at -5.96 eV/atom.

---

The following is a PBE calculation of a relaxed KTl4Cu3F12 crystal, from Alexandria via LeMat-Bulk.

a = 8.6189 Å, b = 8.6189 Å, c = 8.6189 Å
α = 90.00°, β = 90.00°, γ = 90.00°
Last column: nearest neighbours and their distance in Å.
Space group Im-3m (No. 229)
Inequivalent atoms, fractional coordinates:
K  0.0000  0.0000  0.0000 x2  6 F 2.46
Tl  0.2500  0.2500  0.2500 x8  12 F 3.05-3.06
Cu  0.0000  0.0000  0.5000 x6  2 F 1.85
F  0.0000  0.0000  0.2851 x12  1 Cu 1.85
F  0.0000  0.2500  0.5000 x12  2 Cu 2.15

Its uncorrected formation energy is -1764 meV per atom. The crystal system is cubic. The total energy comes out at -4.03 eV/atom.

---

The following is a PBE calculation of a relaxed NiAg2Cl crystal, from Alexandria via LeMat-Bulk.

a = 9.1112 Å, b = 3.0286 Å, c = 6.4183 Å
α = 90.00°, β = 99.00°, γ = 90.00°
Last column: nearest neighbours and their distance in Å.
Space group Cm (No. 8)
Inequivalent atoms, fractional coordinates:
Ni  0.0000  0.0000  0.0000 x2  2 Cl 2.23
Ag  0.0081  0.5000  0.6527 x2  1 Cl 2.63, 2 Ni 2.71, 3 Ag 2.77-2.86
Ag  0.2582  0.0000  0.8494 x2  3 Ni 2.68-2.72, 3 Ag 2.77-2.86
Cl  0.0504  0.5000  0.2568 x2  2 Ni 2.23

The calculation puts the offset from the most stable computed form at 0.10 eV per formula unit. Its uncorrected formation energy is 73 meV per atom. The crystal system is monoclinic. The total energy comes out at -3.26 eV/atom.

---

The following is a PBE calculation of a relaxed Ba3NaLa2Te6 crystal, from Alexandria via LeMat-Bulk.

a = 8.2934 Å, b = 14.3601 Å, c = 8.3407 Å
α = 90.00°, β = 109.30°, γ = 90.00°
Last column: nearest neighbours and their distance in Å.
Space group C2/m (No. 12)
Inequivalent atoms, fractional coordinates:
Ba  0.0000  0.0000  0.0000 x2  6 Te 3.47-3.51
Ba  0.0000  0.3360  0.0000 x4  6 Te 3.48-3.52
Na  0.0000  0.5000  0.5000 x2  6 Te 3.32-3.34
La  0.0000  0.1674  0.5000 x4  6 Te 3.27
Te  0.2361  0.0000  0.7255 x4  2 La 3.27, 1 Na 3.32, 3 Ba 3.47-3.50
Te  0.2461  0.3303  0.7284 x8  2 La 3.27, 1 Na 3.34, 3 Ba 3.48-3.52

Its uncorrected formation energy is -1606 meV per atom. The crystal system is monoclinic. The total energy comes out at -4.59 eV/atom.

---

The following is a PBE calculation of a relaxed TbSmPa2Rh4 crystal, from Alexandria via LeMat-Bulk.

a = 7.6422 Å, b = 10.9805 Å, c = 8.4127 Å
α = 90.00°, β = 90.00°, γ = 90.00°
Last column: nearest neighbours and their distance in Å.
Space group Fmm2 (No. 42)
Inequivalent atoms, fractional coordinates:
Tb  0.0000  0.0000  0.0000 x4  6 Rh 2.74-2.91
Sm  0.0000  0.0000  0.5824 x4  6 Rh 2.84-2.94
Pa  0.2500  0.2500  0.3455 x8  6 Rh 2.79-2.91
Rh  0.0000  0.2361  0.1051 x8  1 Tb 2.74, 4 Pa 2.79-2.91, 1 Sm 2.90
Rh  0.1959  0.0000  0.2962 x8  2 Pa 2.81, 2 Sm 2.84-2.94, 2 Tb 2.89-2.91, 1 Rh 2.99

The calculation puts the formation enthalpy at 0 K at -0.68 eV/atom. The crystal system is orthorhombic. The total energy comes out at -7.90 eV/atom.

---

The following is a PBE calculation of a relaxed La4Pm5Tm4 crystal, from Alexandria via LeMat-Bulk.

a = 13.0807 Å, b = 13.0807 Å, c = 5.1519 Å
α = 90.00°, β = 90.00°, γ = 90.00°
Last column: nearest neighbours and their distance in Å.
Space group I4/m (No. 87)
Inequivalent atoms, fractional coordinates:
La  0.0777  0.6177  0.0000 x8  4 Tm 3.60-3.62, 3 Pm 3.64-3.70, 5 La 3.67-3.69
Pm  0.0000  0.0000  0.0000 x2  8 Pm 3.62, 4 Tm 3.62
Pm  0.0422  0.8107  0.5000 x8  4 Pm 3.59-3.62, 5 Tm 3.60-3.67, 3 La 3.64-3.70
Tm  0.1536  0.2307  0.0000 x8  6 Pm 3.60-3.67, 4 La 3.60-3.62, 2 Tm 3.64

The calculation puts the formation enthalpy at 0 K at 0.03 eV/atom. The crystal system is tetragonal. The total energy comes out at -4.69 eV/atom.

---

The following is a PBE calculation of a relaxed CeCuNi4 crystal, from Alexandria via LeMat-Bulk.

a = 8.2585 Å, b = 8.2585 Å, c = 8.2585 Å
α = 90.00°, β = 90.00°, γ = 90.00°
Last column: nearest neighbours and their distance in Å.
Space group F-43m (No. 216)
Inequivalent atoms, fractional coordinates:
Ce  0.0000  0.0000  0.0000 x4  4 Ni 2.15
Cu  0.2500  0.2500  0.2500 x4  12 Ni 3.50, 4 Ce 3.58
Ni  0.1502  0.1502  0.8498 x16  1 Ce 2.15, 3 Ni 2.33

The calculation puts the offset from the most stable computed form at 8.47 eV per formula unit. The calculation puts the formation enthalpy at 0 K at 1.11 eV/atom. The crystal system is cubic. The total energy comes out at -4.41 eV/atom.

---

The following is a PBE calculation of a relaxed K2Tl crystal, from Alexandria via LeMat-Bulk.

a = 6.2963 Å, b = 4.3008 Å, c = 11.2593 Å
α = 90.00°, β = 105.90°, γ = 90.00°
Last column: nearest neighbours and their distance in Å.
Space group P2_1/m (No. 11)
Inequivalent atoms, fractional coordinates:
K  0.0827  0.2500  0.1613 x2  6 Tl 3.86-4.31, 6 K 4.01-4.30
K  0.3035  0.7500  0.6088 x2  2 Tl 3.76, 2 K 4.01-4.02
Tl  0.4438  0.2500  0.8938 x2  2 Tl 3.15

The calculation puts the offset from the most stable computed form at 0.05 eV per formula unit. The calculation puts the formation enthalpy at 0 K at -0.05 eV/atom. The crystal system is monoclinic. The total energy comes out at -1.57 eV/atom.